Entry 1:
This record from Alexandria describes a geometry-optimized CsSmGeTe3 structure. The functional is PBE-GGA.

Geometry as POSCAR:
```
CsSmGeTe3
1.0
9.853 0.000 0.000
0.000 4.383 0.000
-4.793 0.000 11.473
Cs Sm Ge Te
2 2 2 6
Direct
0.237 0.250 0.283
0.763 0.750 0.717
0.365 0.750 0.842
0.635 0.250 0.158
0.117 0.250 0.556
0.883 0.750 0.444
0.114 0.250 0.773
0.315 0.750 0.574
0.392 0.750 0.101
0.608 0.250 0.899
0.685 0.250 0.426
0.886 0.750 0.227
```

Calculated density: 4.95 g cm⁻³
Calculated volume: 41.29 Å³/atom

***

Entry 2:
This record from Alexandria describes a geometry-optimized SrTc2I structure. The functional is PBE-GGA.

Geometry as POSCAR:
```
SrTc2I
1.0
0.000 3.396 3.396
3.396 0.000 3.396
3.396 3.396 0.000
Sr Tc I
1 2 1
Direct
0.000 0.000 0.000
0.250 0.250 0.250
0.750 0.750 0.750
0.500 0.500 0.500
```

DOS(E_F): 5.32 states/eV per cell
Calculated density: 8.70 g cm⁻³
Calculated volume: 19.58 Å³/atom
Distance to the lowest polymorph of the same formula: 0.00 eV per formula unit

***

Entry 3:
This record from Alexandria describes a geometry-optimized K5Al structure. The functional is PBE-GGA.

Geometry as POSCAR:
```
K5Al
1.0
7.705 0.000 0.000
-3.852 6.673 0.000
0.000 0.000 7.546
K Al
5 1
Direct
0.000 0.500 0.000
0.333 0.667 0.500
0.500 0.000 0.000
0.500 0.500 0.000
0.667 0.333 0.500
0.000 0.000 0.500
```

DOS(E_F): 4.30 states/eV per cell
Calculated density: 0.95 g cm⁻³
Calculated volume: 64.66 Å³/atom
Energy relative to the elements: 0.4330 eV per atom
Distance to the lowest polymorph of the same formula: 1.47 eV per formula unit

***

Entry 4:
This record from Alexandria describes a geometry-optimized UTl2Zn3F12 structure. The functional is PBE-GGA.

Geometry as POSCAR:
```
UTl2Zn3F12
1.0
3.824 2.208 5.541
-3.824 2.208 5.541
0.000 -4.416 5.541
U Tl Zn F
1 2 3 12
Direct
0.000 0.000 0.000
0.390 0.390 0.390
0.610 0.610 0.610
0.000 0.000 0.500
0.000 0.500 0.000
0.500 0.000 0.000
0.101 0.739 0.739
0.128 0.128 0.623
0.128 0.623 0.128
0.261 0.261 0.899
0.261 0.899 0.261
0.377 0.872 0.872
0.623 0.128 0.128
0.739 0.101 0.739
0.739 0.739 0.101
0.872 0.377 0.872
0.872 0.872 0.377
0.899 0.261 0.261
```

DOS(E_F): 7.93 states/eV per cell
Calculated density: 6.33 g cm⁻³
Calculated volume: 15.60 Å³/atom

***

Entry 5:
This record from Alexandria describes a geometry-optimized Tl2CrMo structure. The functional is PBE-GGA.

Geometry as POSCAR:
```
Tl2CrMo
1.0
3.070 0.000 0.000
0.000 4.052 0.000
0.000 0.000 6.293
Tl Cr Mo
2 1 1
Direct
0.000 0.000 0.250
0.000 0.000 0.750
0.500 0.500 0.000
0.500 0.500 0.500
```

DOS(E_F): 2.65 states/eV per cell
Calculated density: 11.81 g cm⁻³
Calculated volume: 19.57 Å³/atom
Energy relative to the elements: 0.8094 eV per atom
Distance to the lowest polymorph of the same formula: 1.24 eV per formula unit

***

Entry 6:
This record from Alexandria describes a geometry-optimized LiMgZr2 structure. The functional is PBE-GGA.

Geometry as POSCAR:
```
LiMgZr2
1.0
-2.157 2.157 4.505
2.157 -2.157 4.505
2.157 2.157 -4.505
Li Mg Zr
1 1 2
Direct
0.000 0.000 0.000
0.250 0.750 0.500
0.500 0.500 0.000
0.750 0.250 0.500
```

DOS(E_F): 4.53 states/eV per cell
Calculated density: 4.23 g cm⁻³
Calculated volume: 20.96 Å³/atom
Energy relative to the elements: 0.2536 eV per atom

***

Entry 7:
This record from Alexandria describes a geometry-optimized ScNiOs4 structure. The functional is PBE-GGA.

Geometry as POSCAR:
```
ScNiOs4
1.0
0.000 3.643 3.643
3.643 0.000 3.643
3.643 3.643 0.000
Sc Ni Os
1 1 4
Direct
0.000 0.000 0.000
0.750 0.750 0.750
0.376 0.376 0.376
0.376 0.376 0.873
0.376 0.873 0.376
0.873 0.376 0.376
```

DOS(E_F): 9.13 states/eV per cell
Calculated density: 14.85 g cm⁻³
Calculated volume: 16.11 Å³/atom
Energy relative to the elements: 0.2767 eV per atom

***

Entry 8:
This record from Alexandria describes a geometry-optimized TaN structure. The functional is PBE-GGA.

Geometry as POSCAR:
```
TaN
1.0
-4.193 4.193 1.673
4.193 -4.193 1.673
4.193 4.193 -1.673
Ta N
4 4
Direct
0.119 0.678 0.797
0.322 0.119 0.441
0.678 0.881 0.559
0.881 0.322 0.203
0.107 0.239 0.346
0.239 0.893 0.133
0.761 0.107 0.867
0.893 0.761 0.654
```

DOS(E_F): 1.81 states/eV per cell
Calculated density: 11.00 g cm⁻³
Calculated volume: 14.71 Å³/atom

***

| no. | E (eV per atom) |
| --- | --- |
| 1 | -4.234 |
| 2 | -4.821 |
| 3 | -1.105 |
| 4 | -4.867 |
| 5 | -5.487 |
| 6 | -4.898 |
| 7 | -9.229 |
| 8 | -10.967 |